No. 1
Ho2Ga5Pt3 after structural relaxation. Source: Alexandria, functional GGA-PBE. Values from VASP.

Calculated values
Energy of formation from the pure elements: -877 meV per atom
Density of states at the Fermi level: 8.45 states/eV/cell

Quantum ESPRESSO input file:
```
&SYSTEM
  ibrav = 0, nat = 20, ntyp = 3
/
ATOMIC_SPECIES
Ho 164.93 Ho.upf
Ga 69.72 Ga.upf
Pt 195.08 Pt.upf
CELL_PARAMETERS angstrom
-5.1319 6.3430 2.8479
5.1319 -6.3430 2.8479
5.1319 6.3430 -2.8479
ATOMIC_POSITIONS angstrom
Ho 2.2861 1.8131 0.0000
Ho 2.2861 -1.8131 2.8479
Ho 2.8458 8.1560 0.0000
Ho 2.8458 4.5299 2.8479
Ga 5.1319 -2.6470 1.4239
Ga 6.8679 1.2117 0.0000
Ga 0.0000 0.0000 1.4239
Ga 1.7360 5.1313 0.0000
Ga 5.1319 2.6470 1.4239
Ga 0.0000 3.6960 1.4239
Ga 3.3959 1.2117 2.8479
Ga 0.0000 0.0000 4.2718
Ga -1.7360 5.1313 2.8479
Ga 0.0000 8.9899 1.4239
Pt 4.1028 -4.4902 2.8479
Pt 5.1319 0.0000 1.4239
Pt 4.1028 4.4902 0.0000
Pt 1.0291 1.8528 2.8479
Pt 0.0000 6.3430 1.4239
Pt 1.0291 10.8331 0.0000
```

No. 2
ScRe2Ni after structural relaxation. Source: Alexandria, functional GGA-PBE. Values from VASP.

Calculated values
Energy of formation from the pure elements: 112 meV per atom
Density of states at the Fermi level: 12.88 states/eV/cell

Quantum ESPRESSO input file:
```
&SYSTEM
  ibrav = 0, nat = 8, ntyp = 3
/
ATOMIC_SPECIES
Sc 44.96 Sc.upf
Re 186.21 Re.upf
Ni 58.69 Ni.upf
CELL_PARAMETERS angstrom
3.7443 0.0000 0.0000
0.0000 3.7443 0.0000
0.0000 0.0000 8.7582
ATOMIC_POSITIONS angstrom
Sc 0.0000 0.0000 0.0000
Sc 1.8721 1.8721 4.3791
Re 0.0000 1.8721 2.1895
Re 0.0000 1.8721 6.5686
Re 1.8721 0.0000 2.1895
Re 1.8721 0.0000 6.5686
Ni 0.0000 0.0000 4.3791
Ni 1.8721 1.8721 0.0000
```

No. 3
ZrCoNi2 after structural relaxation. Source: Alexandria, functional GGA-PBE. Values from VASP.

Calculated values
Energy of formation from the pure elements: 96 meV per atom
Density of states at the Fermi level: 19.87 states/eV/cell

Quantum ESPRESSO input file:
```
&SYSTEM
  ibrav = 0, nat = 16, ntyp = 3
/
ATOMIC_SPECIES
Zr 91.22 Zr.upf
Co 58.93 Co.upf
Ni 58.69 Ni.upf
CELL_PARAMETERS angstrom
3.6187 0.0000 0.0000
0.0000 3.6187 0.0000
0.0000 0.0000 17.4344
ATOMIC_POSITIONS angstrom
Zr 0.0000 0.0000 0.0000
Zr 0.0000 1.8094 4.3586
Zr 1.8094 0.0000 13.0758
Zr 1.8094 1.8094 8.7172
Co 0.0000 0.0000 8.7172
Co 0.0000 1.8094 13.0758
Co 1.8094 0.0000 4.3586
Co 1.8094 1.8094 0.0000
Ni 0.7674 0.9047 10.8965
Ni 0.9047 2.5768 15.2551
Ni 0.9047 2.8513 6.5379
Ni 1.0419 0.9047 2.1793
Ni 2.5768 2.7140 2.1793
Ni 2.7140 0.7674 6.5379
Ni 2.7140 1.0419 15.2551
Ni 2.8513 2.7140 10.8965
```

No. 4
NiPt2Pb after structural relaxation. Source: Alexandria, functional GGA-PBE. Values from VASP.

Calculated values
Energy of formation from the pure elements: 104 meV per atom
Density of states at the Fermi level: 4.28 states/eV/cell

Quantum ESPRESSO input file:
```
&SYSTEM
  ibrav = 0, nat = 4, ntyp = 3
/
ATOMIC_SPECIES
Ni 58.69 Ni.upf
Pt 195.08 Pt.upf
Pb 207.20 Pb.upf
CELL_PARAMETERS angstrom
3.0648 0.0000 0.0000
0.0000 3.7306 0.0000
0.0000 0.0000 6.0098
ATOMIC_POSITIONS angstrom
Ni 0.0000 0.0000 0.0000
Pt 0.0000 0.0000 3.4028
Pt 1.5324 1.8653 4.9202
Pb 1.5324 1.8653 1.7383
```

No. 5
Na3CeF6 after structural relaxation. Source: Alexandria, functional GGA-PBE. Values from VASP.

Calculated values
Uncorrected formation energy: -3.21 eV/atom
Density of states at the Fermi level: 0.62 states/eV/cell

Quantum ESPRESSO input file:
```
&SYSTEM
  ibrav = 0, nat = 20, ntyp = 3
/
ATOMIC_SPECIES
Na 22.99 Na.upf
Ce 140.12 Ce.upf
F 19.00 F.upf
CELL_PARAMETERS angstrom
4.9375 2.8507 3.9873
-4.9375 2.8507 3.9873
0.0000 -5.7013 3.9873
ATOMIC_POSITIONS angstrom
Na -2.4994 -2.5365 5.4086
Na -3.4464 0.8963 6.5533
Na 0.9470 -3.4328 6.5533
Na -0.9470 3.4328 5.4086
Na 3.4464 -0.8963 5.4086
Na 2.4994 2.5366 6.5533
Ce 0.0000 0.0000 0.0000
Ce 0.0000 0.0000 5.9809
F -4.2414 -1.2575 6.4687
F -1.0317 -4.3019 5.4931
F -1.9662 -0.2155 4.8031
F -3.2098 3.0444 5.4931
F -0.7965 -1.8106 7.1587
F 1.1698 -1.5950 4.8031
F -1.1698 1.5950 7.1587
F 0.7965 1.8106 4.8031
F 3.2097 -3.0444 6.4687
F 1.9662 0.2155 7.1587
F 1.0317 4.3019 6.4687
F 4.2414 1.2575 5.4931
```

No. 6
LaAlHg3 after structural relaxation. Source: Alexandria, functional GGA-PBE. Values from VASP.

Calculated values
Energy of formation from the pure elements: -103 meV per atom
Density of states at the Fermi level: 5.14 states/eV/cell

Quantum ESPRESSO input file:
```
&SYSTEM
  ibrav = 0, nat = 5, ntyp = 3
/
ATOMIC_SPECIES
La 138.91 La.upf
Al 26.98 Al.upf
Hg 200.59 Hg.upf
CELL_PARAMETERS angstrom
5.1369 0.0000 0.0000
0.0000 5.1369 0.0000
0.0000 0.0000 5.1369
ATOMIC_POSITIONS angstrom
La 0.0000 0.0000 0.0000
Al 2.5684 2.5684 2.5684
Hg 0.0000 2.5684 2.5684
Hg 2.5684 0.0000 2.5684
Hg 2.5684 2.5684 0.0000
```

No. 7
KSc2Cd after structural relaxation. Source: Alexandria, functional GGA-PBE. Values from VASP.

Calculated values
Energy of formation from the pure elements: 313 meV per atom
Density of states at the Fermi level: 11.13 states/eV/cell

Quantum ESPRESSO input file:
```
&SYSTEM
  ibrav = 0, nat = 8, ntyp = 3
/
ATOMIC_SPECIES
K 39.10 K.upf
Sc 44.96 Sc.upf
Cd 112.41 Cd.upf
CELL_PARAMETERS angstrom
10.6770 0.0000 0.0000
0.0000 3.2504 0.0000
-0.7859 0.0000 7.3710
ATOMIC_POSITIONS angstrom
K 0.0000 0.0000 0.0000
K 5.3385 1.6252 0.0000
Sc -0.3245 1.6252 3.7578
Sc 2.6239 1.6252 2.6140
Sc 5.0140 0.0000 3.7578
Sc 7.9624 0.0000 2.6140
Cd 2.0910 0.0000 5.0625
Cd 7.4295 1.6252 5.0625
```

No. 8
Cu3Pd4Pt after structural relaxation. Source: Alexandria, functional GGA-PBE. Values from VASP.

Calculated values
Energy of formation from the pure elements: -86 meV per atom
Density of states at the Fermi level: 19.45 states/eV/cell

Quantum ESPRESSO input file:
```
&SYSTEM
  ibrav = 0, nat = 16, ntyp = 3
/
ATOMIC_SPECIES
Cu 63.55 Cu.upf
Pd 106.42 Pd.upf
Pt 195.08 Pt.upf
CELL_PARAMETERS angstrom
8.9076 0.0000 0.0000
0.0000 5.5044 0.0000
0.0000 0.0000 4.6665
ATOMIC_POSITIONS angstrom
Cu 0.0000 0.0000 0.0000
Cu 2.2269 0.0000 1.6062
Cu 2.2269 2.7522 1.5931
Cu 4.4538 0.0000 0.0000
Cu 6.6807 0.0000 3.0603
Cu 6.6807 2.7522 3.0734
Pd 0.0000 1.3557 2.3333
Pd 0.0000 4.1488 2.3333
Pd 2.2269 1.3633 3.9595
Pd 2.2269 4.1412 3.9595
Pd 4.4538 1.3557 2.3333
Pd 4.4538 4.1488 2.3333
Pd 6.6807 1.3633 0.7070
Pd 6.6807 4.1412 0.7070
Pt 0.0000 2.7522 0.0000
Pt 4.4538 2.7522 0.0000
```

No. 9
TePtSe after structural relaxation. Source: Alexandria, functional GGA-PBE. Values from VASP.

Calculated values
Uncorrected formation energy: -0.38 eV/atom
Density of states at the Fermi level: 0.92 states/eV/cell

Quantum ESPRESSO input file:
```
&SYSTEM
  ibrav = 0, nat = 3, ntyp = 3
/
ATOMIC_SPECIES
Te 127.60 Te.upf
Pt 195.08 Pt.upf
Se 78.96 Se.upf
CELL_PARAMETERS angstrom
3.9526 0.0000 0.0000
-1.9763 3.4230 0.0000
0.0000 0.0000 5.1903
ATOMIC_POSITIONS angstrom
Te 0.0000 0.0000 0.0000
Pt 1.9763 1.1410 1.3928
Se 0.0000 2.2820 2.6575
```

No. 10
TlI3 after structural relaxation. Source: Alexandria, functional GGA-PBE. Values from VASP.

Calculated values
Uncorrected formation energy: -0.22 eV/atom
Density of states at the Fermi level: 3.22 states/eV/cell

Quantum ESPRESSO input file:
```
&SYSTEM
  ibrav = 0, nat = 4, ntyp = 2
/
ATOMIC_SPECIES
Tl 204.38 Tl.upf
I 126.90 I.upf
CELL_PARAMETERS angstrom
4.5936 0.0000 0.0000
0.0000 4.5936 0.0000
0.0000 0.0000 8.7471
ATOMIC_POSITIONS angstrom
Tl 0.0000 0.0000 0.0000
I 0.0000 2.2968 5.3142
I 2.2968 0.0000 5.3142
I 2.2968 2.2968 1.0957
```

No. 11
SrZrAu2 after structural relaxation. Source: Alexandria, functional GGA-PBE. Values from VASP.

Calculated values
Energy of formation from the pure elements: -404 meV per atom
Density of states at the Fermi level: 7.09 states/eV/cell

Quantum ESPRESSO input file:
```
&SYSTEM
  ibrav = 0, nat = 8, ntyp = 3
/
ATOMIC_SPECIES
Sr 87.62 Sr.upf
Zr 91.22 Zr.upf
Au 196.97 Au.upf
CELL_PARAMETERS angstrom
7.3210 0.0000 0.0000
0.0000 4.2497 0.0000
-2.4607 0.0000 7.0193
ATOMIC_POSITIONS angstrom
Sr 0.0000 0.0000 0.0000
Sr 3.6605 2.1249 0.0000
Zr -1.2304 2.1249 3.5096
Zr 2.4301 0.0000 3.5096
Au -0.0161 0.0000 4.8729
Au 1.2159 2.1249 2.1463
Au 3.6444 2.1249 4.8729
Au 4.8764 0.0000 2.1463
```

No. 12
BaNb3P after structural relaxation. Source: Alexandria, functional GGA-PBE. Values from VASP.

Calculated values
Energy of formation from the pure elements: 460 meV per atom
Density of states at the Fermi level: 7.86 states/eV/cell

Quantum ESPRESSO input file:
```
&SYSTEM
  ibrav = 0, nat = 5, ntyp = 3
/
ATOMIC_SPECIES
Ba 137.33 Ba.upf
Nb 92.91 Nb.upf
P 30.97 P.upf
CELL_PARAMETERS angstrom
4.8665 0.0000 0.0000
0.0000 4.8665 0.0000
0.0000 0.0000 4.8665
ATOMIC_POSITIONS angstrom
Ba 0.0000 0.0000 0.0000
Nb 0.0000 2.4332 2.4332
Nb 2.4332 0.0000 2.4332
Nb 2.4332 2.4332 0.0000
P 2.4332 2.4332 2.4332
```

No. 13
Hf2BiF after structural relaxation. Source: Alexandria, functional GGA-PBE. Values from VASP.

Calculated values
Uncorrected formation energy: -0.35 eV/atom
Density of states at the Fermi level: 7.31 states/eV/cell

Quantum ESPRESSO input file:
```
&SYSTEM
  ibrav = 0, nat = 16, ntyp = 3
/
ATOMIC_SPECIES
Hf 178.49 Hf.upf
Bi 208.98 Bi.upf
F 19.00 F.upf
CELL_PARAMETERS angstrom
5.1857 0.0000 0.0000
0.0000 5.1857 0.0000
0.0000 0.0000 14.3077
ATOMIC_POSITIONS angstrom
Hf 0.5432 1.2964 1.7885
Hf 1.2964 3.1361 5.3654
Hf 1.2964 4.6425 12.5192
Hf 2.0496 1.2964 8.9423
Hf 3.1361 3.8893 8.9423
Hf 3.8893 0.5432 12.5192
Hf 3.8893 2.0496 5.3654
Hf 4.6425 3.8893 1.7885
Bi 0.0000 0.0000 7.1538
Bi 0.0000 2.5929 10.7308
Bi 2.5929 0.0000 3.5769
Bi 2.5929 2.5929 0.0000
F 0.0000 0.0000 0.0000
F 0.0000 2.5929 3.5769
F 2.5929 0.0000 10.7308
F 2.5929 2.5929 7.1538
```

No. 14
Cs2TiIrBr after structural relaxation. Source: Alexandria, functional GGA-PBE. Values from VASP.

Calculated values
Uncorrected formation energy: 0.92 eV/atom
Density of states at the Fermi level: 7.17 states/eV/cell

Quantum ESPRESSO input file:
```
&SYSTEM
  ibrav = 0, nat = 5, ntyp = 4
/
ATOMIC_SPECIES
Cs 132.91 Cs.upf
Ti 47.87 Ti.upf
Ir 192.22 Ir.upf
Br 79.90 Br.upf
CELL_PARAMETERS angstrom
7.0317 0.0000 0.0000
0.0000 7.0317 0.0000
0.0000 0.0000 4.6582
ATOMIC_POSITIONS angstrom
Cs 0.0000 3.5158 0.0000
Cs 3.5158 0.0000 0.0000
Ti 0.0000 0.0000 2.3291
Ir 3.5158 3.5158 2.3291
Br 3.5158 3.5158 0.0000
```

No. 15
Al2ZnBr after structural relaxation. Source: Alexandria, functional GGA-PBE. Values from VASP.

Calculated values
Uncorrected formation energy: 0.13 eV/atom
Density of states at the Fermi level: 1.03 states/eV/cell

Quantum ESPRESSO input file:
```
&SYSTEM
  ibrav = 0, nat = 4, ntyp = 3
/
ATOMIC_SPECIES
Al 26.98 Al.upf
Zn 65.41 Zn.upf
Br 79.90 Br.upf
CELL_PARAMETERS angstrom
3.3718 0.0000 0.0000
0.0000 3.3718 0.0000
0.0000 0.0000 7.1438
ATOMIC_POSITIONS angstrom
Al 0.0000 0.0000 1.4435
Al 0.0000 0.0000 5.7003
Zn 1.6859 1.6859 0.0000
Br 1.6859 1.6859 3.5719
```

No. 16
KZn2Re after structural relaxation. Source: Alexandria, functional GGA-PBE. Values from VASP.

Calculated values
Energy of formation from the pure elements: 556 meV per atom
Density of states at the Fermi level: 7.91 states/eV/cell

Quantum ESPRESSO input file:
```
&SYSTEM
  ibrav = 0, nat = 12, ntyp = 3
/
ATOMIC_SPECIES
K 39.10 K.upf
Zn 65.41 Zn.upf
Re 186.21 Re.upf
CELL_PARAMETERS angstrom
2.8386 0.0000 0.0000
-1.4193 2.4583 0.0000
0.0000 0.0000 31.0544
ATOMIC_POSITIONS angstrom
K 0.0000 0.0000 0.0000
K 0.0000 1.6389 20.7030
K 1.4193 0.8194 10.3515
Zn 0.0000 0.0000 7.3953
Zn 0.0000 0.0000 23.6591
Zn 0.0000 1.6389 13.3076
Zn 0.0000 1.6389 28.0983
Zn 1.4193 0.8194 2.9561
Zn 1.4193 0.8194 17.7468
Re 0.0000 0.0000 15.5272
Re 0.0000 1.6389 5.1757
Re 1.4193 0.8194 25.8787
```

No. 17
ErPa2Ge after structural relaxation. Source: Alexandria, functional GGA-PBE. Values from VASP.

Calculated values
Energy of formation from the pure elements: 157 meV per atom
Density of states at the Fermi level: 21.15 states/eV/cell

Quantum ESPRESSO input file:
```
&SYSTEM
  ibrav = 0, nat = 12, ntyp = 3
/
ATOMIC_SPECIES
Er 167.26 Er.upf
Pa 231.04 Pa.upf
Ge 72.64 Ge.upf
CELL_PARAMETERS angstrom
3.1818 0.0000 0.0000
-1.5909 2.7555 0.0000
0.0000 0.0000 33.9745
ATOMIC_POSITIONS angstrom
Er 0.0000 0.0000 0.0000
Er 0.0000 1.8370 22.6497
Er 1.5909 0.9185 11.3248
Pa 0.0000 0.0000 3.1851
Pa 0.0000 0.0000 30.7894
Pa 0.0000 1.8370 19.4646
Pa 0.0000 1.8370 25.8347
Pa 1.5909 0.9185 8.1397
Pa 1.5909 0.9185 14.5099
Ge 0.0000 0.0000 16.9872
Ge 0.0000 1.8370 5.6624
Ge 1.5909 0.9185 28.3121
```

No. 18
NaTa2TeF after structural relaxation. Source: Alexandria, functional GGA-PBE. Values from VASP.

Calculated values
Uncorrected formation energy: 0.18 eV/atom
Density of states at the Fermi level: 3.67 states/eV/cell

Quantum ESPRESSO input file:
```
&SYSTEM
  ibrav = 0, nat = 5, ntyp = 4
/
ATOMIC_SPECIES
Na 22.99 Na.upf
Ta 180.95 Ta.upf
Te 127.60 Te.upf
F 19.00 F.upf
CELL_PARAMETERS angstrom
4.2499 0.0000 0.0000
0.0000 4.2499 0.0000
0.0000 0.0000 5.4665
ATOMIC_POSITIONS angstrom
Na 0.0000 0.0000 0.0000
Ta 0.0000 2.1249 2.7332
Ta 2.1249 0.0000 2.7332
Te 2.1249 2.1249 0.0000
F 2.1249 2.1249 2.7332
```

No. 19
CsBeSe2N after structural relaxation. Source: Alexandria, functional GGA-PBE. Values from VASP.

Calculated values
Uncorrected formation energy: 0.24 eV/atom
Density of states at the Fermi level: 4.05 states/eV/cell

Quantum ESPRESSO input file:
```
&SYSTEM
  ibrav = 0, nat = 5, ntyp = 4
/
ATOMIC_SPECIES
Cs 132.91 Cs.upf
Be 9.01 Be.upf
Se 78.96 Se.upf
N 14.01 N.upf
CELL_PARAMETERS angstrom
6.4463 0.0000 0.0000
0.0000 6.4463 0.0000
0.0000 0.0000 3.1061
ATOMIC_POSITIONS angstrom
Cs 0.0000 0.0000 0.0000
Be 3.2232 3.2232 1.5531
Se 0.0000 3.2232 1.5531
Se 3.2232 0.0000 1.5531
N 3.2232 3.2232 0.0000
```

No. 20
LiSmHo2S4 after structural relaxation. Source: Alexandria, functional GGA-PBE. Values from VASP.

Calculated values
Uncorrected formation energy: -1.93 eV/atom
Density of states at the Fermi level: 2.47 states/eV/cell

Quantum ESPRESSO input file:
```
&SYSTEM
  ibrav = 0, nat = 8, ntyp = 4
/
ATOMIC_SPECIES
Li 6.94 Li.upf
Sm 150.36 Sm.upf
Ho 164.93 Ho.upf
S 32.06 S.upf
CELL_PARAMETERS angstrom
6.7662 0.0000 0.0000
0.0000 3.8953 0.0000
-2.2407 0.0000 6.3916
ATOMIC_POSITIONS angstrom
Li 0.0000 0.0000 0.0000
Sm 3.3831 1.9476 0.0000
Ho -1.1204 1.9476 3.1958
Ho 2.2628 0.0000 3.1958
S -0.0460 0.0000 4.7658
S 1.0922 1.9476 1.6096
S 3.4333 1.9476 4.7819
S 4.5715 0.0000 1.6258
```